(1)
## Ac2Al3Hg2 (GGA-PBE)

Data for crystalline Ac2Al3Hg2 at its relaxed geometry.

a b c (Å): 11.5136 4.7825 7.1214
angles (deg): 90.00 111.85 90.00
With the nearest neighbours (Å) after each atom.
Fractional positions:
Ac 0.1517 0.0000 0.2733  5 Hg 3.36-3.60, 8 Al 3.39-3.74
Ac 0.3483 0.5000 0.7267  5 Hg 3.36-3.60, 8 Al 3.39-3.74
Ac 0.6517 0.5000 0.2733  5 Hg 3.36-3.60, 8 Al 3.39-3.74
Ac 0.8483 0.0000 0.7267  5 Hg 3.36-3.60, 8 Al 3.39-3.74
Al 0.0000 0.5000 0.5000  2 Al 2.72
Al 0.0835 0.5000 0.9105  2 Al 2.67-2.72, 2 Hg 2.83
Al 0.4165 0.0000 0.0895  2 Al 2.67-2.72, 2 Hg 2.83
Al 0.5000 0.0000 0.5000  2 Al 2.72
Al 0.5835 0.0000 0.9105  2 Al 2.67-2.72, 2 Hg 2.83
Al 0.9165 0.5000 0.0895  2 Al 2.67-2.72, 2 Hg 2.83
Hg 0.1544 0.0000 0.7689  5 Al 2.83-3.16
Hg 0.3456 0.5000 0.2311  5 Al 2.83-3.16
Hg 0.6544 0.5000 0.7689  5 Al 2.83-3.16
Hg 0.8456 0.0000 0.2311  5 Al 2.83-3.16

Computed properties:
crystal system	monoclinic
Fermi-level density of states	6.85	states/eV/cell
E_form	-2.579	eV/f.u.
space-group type	C2/m, No. 12

---

(2)
## Ac3Al2Hg (GGA-PBE)

Data for crystalline Ac3Al2Hg at its relaxed geometry.

a b c (Å): 3.9521 3.9521 12.1622
angles (deg): 90.00 90.00 90.00
With the nearest neighbours (Å) after each atom.
Fractional positions:
Ac 0.0000 0.0000 0.0000  8 Al 3.44
Ac 0.0000 0.0000 0.3244  4 Al 3.40, 4 Hg 3.52
Ac 0.0000 0.0000 0.6756  4 Al 3.40, 4 Hg 3.52
Al 0.5000 0.5000 0.1648  8 Ac 3.40-3.44
Al 0.5000 0.5000 0.8352  8 Ac 3.40-3.44
Hg 0.5000 0.5000 0.5000  8 Ac 3.52

Computed properties:
crystal system	tetragonal
Fermi-level density of states	5.22	states/eV/cell
E_form	-1.828	eV/f.u.
space-group type	P4/mmm, No. 123

---

(3)
## AcAlHg (GGA-PBE)

Data for crystalline AcAlHg at its relaxed geometry.

a b c (Å): 4.8384 4.8384 4.1802
angles (deg): 90.00 90.00 120.00
With the nearest neighbours (Å) after each atom.
Fractional positions:
Ac 0.0000 0.0000 0.0000  6 Al 3.49, 6 Hg 3.49
Al 0.3333 0.6667 0.5000  3 Hg 2.79
Hg 0.6667 0.3333 0.5000  3 Al 2.79

Computed properties:
crystal system	hexagonal
Fermi-level density of states	1.77	states/eV/cell
relative energy among the computed polymorphs	0.19	kcal/mol of atoms
E_form	-1.223	eV/f.u.
space-group type	P-6m2, No. 187

---

(4)
## AcAlHg (GGA-PBE)

Data for crystalline AcAlHg at its relaxed geometry.

a b c (Å): 3.7087 3.7087 11.9557
angles (deg): 90.00 90.00 90.00
With the nearest neighbours (Å) after each atom.
Fractional positions:
Ac 0.0000 0.0000 0.0000  5 Al 3.47-3.71, 5 Hg 3.49-3.67, 4 Ac 3.71
Ac 0.5000 0.5000 0.5000  5 Al 3.47-3.71, 5 Hg 3.49-3.67, 4 Ac 3.71
Al 0.0000 0.0000 0.6897  4 Hg 2.97
Al 0.5000 0.5000 0.1897  4 Hg 2.97
Hg 0.0000 0.0000 0.3068  4 Al 2.97
Hg 0.5000 0.5000 0.8068  4 Al 2.97

Computed properties:
crystal system	tetragonal
Fermi-level density of states	4.55	states/eV/cell
relative energy among the computed polymorphs	5.13	kcal/mol of atoms
E_form	-0.581	eV/f.u.
space-group type	I4mm, No. 107